A plane-wave DFT calculation with PBE was carried out for an optimized crystal structure of AcCu2Au8.

Cell: 5.562 5.562 8.537 Å, 90.00 90.00 90.00°
Space group P4/mmm (No. 123)
Unique sites:
1 Ac 0.000 0.000 0.000 x1
2 Cu 0.000 0.500 0.500 x2
3 Au 0.253 0.253 0.292 x8

## Properties
As for the total energy: -3.57 eV/atom.

A plane-wave DFT calculation with PBE was carried out for an optimized crystal structure of TiGa2Ru2.

Cell: 3.032 16.606 3.088 Å, 90.00 90.00 90.00°
Space group Cmmm (No. 65)
Unique sites:
1 Ti 0.000 0.000 0.000 x2
2 Ga 0.000 0.180 0.000 x4
3 Ru 0.000 0.407 0.500 x4

## Properties
As for the total energy: -6.92 eV/atom. The value obtained for the energy above the most stable polymorph in this dataset is 0 meV per atom.

A plane-wave DFT calculation with PBE was carried out for an optimized crystal structure of MgPaCu17.

Cell: 8.4566 8.4566 12.4799 Å, 90.00 90.00 120.00°
Space group R3m (No. 160, hexagonal axes)
Unique sites:
1 Mg 0.0000 0.0000 0.0000 x3
2 Pa 0.0000 0.0000 0.3226 x3
3 Cu 0.0000 0.0000 0.5648 x3
4 Cu 0.0000 0.0000 0.7615 x3
5 Cu 0.0016 0.3007 0.6595 x18
6 Cu 0.0038 0.5019 0.5081 x9
7 Cu 0.0047 0.5023 0.1578 x9
8 Cu 0.0095 0.5047 0.8127 x9

## Properties
As for the total energy: -4.24 eV/atom.

A plane-wave DFT calculation with PBE was carried out for an optimized crystal structure of NiPbI3.

Cell: 6.245 6.245 6.245 Å, 90.00 90.00 90.00°
Space group Pm-3m (No. 221)
Unique sites:
1 Ni 0.000 0.000 0.000 x1
2 Pb 0.500 0.500 0.500 x1
3 I 0.000 0.500 0.500 x3

## Properties
As for the total energy: -2.30 eV/atom. The value obtained for the energy above the most stable polymorph in this dataset is 593 meV per atom. The value obtained for the formation energy from raw total energies is 0.528 eV per atom.

A plane-wave DFT calculation with PBE was carried out for an optimized crystal structure of TaBiPd2.

Cell: 3.255 3.255 7.351 Å, 90.00 90.00 90.00°
Space group P4/mmm (No. 123)
Unique sites:
1 Ta 0.000 0.000 0.000 x1
2 Bi 0.000 0.000 0.500 x1
3 Pd 0.500 0.500 0.211 x2

## Properties
As for the total energy: -6.68 eV/atom.

A plane-wave DFT calculation with PBE was carried out for an optimized crystal structure of Cs2NaSrCl.

Cell: 7.232 7.232 5.899 Å, 90.00 90.00 90.00°
Space group P4/mmm (No. 123)
Unique sites:
1 Cs 0.000 0.500 0.000 x2
2 Na 0.000 0.000 0.500 x1
3 Sr 0.500 0.500 0.500 x1
4 Cl 0.500 0.500 0.000 x1

## Properties
As for the total energy: -1.95 eV/atom. The value obtained for the formation energy from raw total energies is -0.639 eV per atom.

A plane-wave DFT calculation with PBE was carried out for an optimized crystal structure of Cd2Ge2Rh3.

Cell: 7.426 4.276 7.852 Å, 90.00 108.38 90.00°
Space group C2/m (No. 12)
Unique sites:
1 Cd 0.133 0.000 0.400 x4
2 Ge 0.118 0.500 0.855 x4
3 Rh 0.000 0.000 0.000 x2
4 Rh 0.234 0.500 0.201 x4

## Properties
As for the total energy: -5.11 eV/atom.

A plane-wave DFT calculation with PBE was carried out for an optimized crystal structure of Al3In5Ga12.

Cell: 15.779 15.779 15.779 Å, 90.00 90.00 90.00°
Space group Ia-3d (No. 230)
Unique sites:
1 Al 0.000 0.250 0.125 x24
2 In 0.000 0.000 0.000 x16
3 In 0.000 0.250 0.375 x24
4 Ga 0.014 0.088 0.653 x96

## Properties
As for the total energy: -2.89 eV/atom.